TaHg3Br: optimized geometry, PBE.

Cell and atoms, written as POSCAR:
```
TaHg3Br
1.0
5.594 0.000 0.000
0.000 5.594 0.000
0.000 0.000 5.594
Hg Br Ta
3 1 1
Direct
0.000 0.500 0.000 Hg
0.000 0.000 0.500 Hg
0.500 0.000 0.000 Hg
0.000 0.000 0.000 Br
0.500 0.500 0.500 Ta
```

uncorrected formation energy	1.53	eV/atom
crystal system	cubic

***

BPIrAu: optimized geometry, PBE.

Cell and atoms, written as POSCAR:
```
BPIrAu
1.0
2.968 0.000 0.000
0.000 2.938 0.000
-0.023 0.000 6.881
P B Ir Au
1 1 1 1
Direct
0.337 0.000 0.679 P
0.337 0.500 0.490 B
0.836 0.000 0.375 Ir
0.330 0.000 0.028 Au
```

crystal system	monoclinic

***

CaCr2Ru: optimized geometry, PBE.

Cell and atoms, written as POSCAR:
```
CaCr2Ru
1.0
-0.026 -3.907 -1.665
-0.709 -1.065 2.511
-5.924 0.155 -0.272
Ru Ca Cr
1 1 2
Direct
0.500 0.250 0.250 Ru
0.500 0.750 0.750 Ca
0.000 0.921 0.094 Cr
0.000 0.579 0.406 Cr
```

crystal system	monoclinic

***

MgRu2: optimized geometry, PBE.

Cell and atoms, written as POSCAR:
```
MgRu2
1.0
-3.041 0.824 -4.180
-2.922 -1.963 -3.874
-6.048 0.009 2.431
Mg Ru
2 4
Direct
0.947 0.947 0.590 Mg
0.284 0.284 0.948 Mg
0.010 0.010 0.012 Ru
0.610 0.610 0.278 Ru
0.321 0.321 0.331 Ru
0.661 0.661 0.673 Ru
```

crystal system	monoclinic

***

LiAl3Pt: optimized geometry, PBE.

Cell and atoms, written as POSCAR:
```
LiAl3Pt
1.0
-3.898 -2.119 -2.043
3.321 -8.429 2.405
-3.862 1.258 6.065
Li Al Pt
4 12 4
Direct
0.981 0.725 0.312 Li
0.019 0.275 0.688 Li
0.481 0.775 0.688 Li
0.519 0.225 0.312 Li
0.765 0.667 0.960 Al
0.235 0.333 0.040 Al
0.265 0.833 0.040 Al
0.735 0.167 0.960 Al
0.451 0.576 0.323 Al
0.549 0.424 0.677 Al
0.951 0.924 0.677 Al
0.049 0.076 0.323 Al
0.969 0.392 0.372 Al
0.031 0.608 0.628 Al
0.469 0.108 0.628 Al
0.531 0.892 0.372 Al
0.734 0.428 0.078 Pt
0.266 0.572 0.922 Pt
0.234 0.072 0.922 Pt
0.766 0.928 0.078 Pt
```

crystal system	monoclinic

***

PmPd7Au4: optimized geometry, PBE.

Cell and atoms, written as POSCAR:
```
PmPd7Au4
1.0
5.052 0.000 0.000
2.526 8.575 -0.276
2.526 0.038 5.153
Pm Pd Au
1 7 4
Direct
0.000 0.000 0.000 Pm
0.792 0.915 0.500 Pd
0.208 0.085 0.500 Pd
0.036 0.620 0.308 Pd
0.964 0.380 0.692 Pd
0.343 0.546 0.767 Pd
0.500 0.000 0.000 Pd
0.657 0.454 0.233 Pd
0.584 0.229 0.602 Au
0.416 0.771 0.398 Au
0.728 0.684 0.861 Au
0.272 0.316 0.139 Au
```

crystal system	monoclinic

***

Nd7Er2Tm2: optimized geometry, PBE.

Cell and atoms, written as POSCAR:
```
Nd7Er2Tm2
1.0
5.950 0.528 1.307
1.344 7.966 0.672
0.506 -0.836 8.048
Nd Er Tm
7 2 2
Direct
0.181 0.051 0.586 Nd
0.819 0.414 0.949 Nd
0.819 0.949 0.414 Nd
0.181 0.586 0.051 Nd
0.000 0.000 0.000 Nd
0.800 0.424 0.424 Nd
0.200 0.576 0.576 Nd
0.587 0.773 0.773 Er
0.413 0.227 0.227 Er
0.500 0.785 0.215 Tm
0.500 0.215 0.785 Tm
```

crystal system	monoclinic

***

TaBePS2: optimized geometry, PBE.

Cell and atoms, written as POSCAR:
```
TaBePS2
1.0
4.709 0.000 0.000
0.000 4.709 0.000
0.000 0.000 4.972
P S Be Ta
1 2 1 1
Direct
0.000 0.000 0.500 P
0.000 0.500 0.000 S
0.500 0.000 0.000 S
0.500 0.500 0.500 Be
0.000 0.000 0.000 Ta
```

uncorrected formation energy	0.43	eV/atom
crystal system	tetragonal

***

CsTl2Ga: optimized geometry, PBE.

Cell and atoms, written as POSCAR:
```
CsTl2Ga
1.0
-0.382 -3.182 4.803
-2.505 2.187 4.721
-5.130 -2.002 1.737
Cs Tl Ga
1 2 1
Direct
0.500 0.500 0.500 Cs
0.250 0.250 0.250 Tl
0.750 0.750 0.750 Tl
0.000 0.000 0.000 Ga
```

crystal system	cubic

***

Sc2PaIr3: optimized geometry, PBE.

Cell and atoms, written as POSCAR:
```
Sc2PaIr3
1.0
-3.291 2.795 1.959
-1.216 -3.064 -3.407
-1.040 -4.017 3.985
Sc Pa Ir
2 1 3
Direct
0.667 0.333 0.349 Sc
0.333 0.667 0.651 Sc
0.000 0.000 0.000 Pa
0.000 0.000 0.500 Ir
0.667 0.333 0.852 Ir
0.333 0.667 0.148 Ir
```

crystal system	trigonal

***

CsKPbCl4: optimized geometry, PBE.

Cell and atoms, written as POSCAR:
```
CsKPbCl4
1.0
5.678 0.000 0.000
0.000 5.678 0.000
-2.839 -2.839 8.448
Cs K Pb Cl
1 1 1 4
Direct
0.642 0.642 0.284 Cs
0.361 0.361 0.722 K
0.001 0.001 0.003 Pb
0.991 0.491 0.982 Cl
0.491 0.991 0.982 Cl
0.836 0.836 0.673 Cl
0.177 0.177 0.354 Cl
```

uncorrected formation energy	-1.60	eV/atom
crystal system	tetragonal

***

LaPrSn2Pd5: optimized geometry, PBE.

Cell and atoms, written as POSCAR:
```
LaPrSn2Pd5
1.0
-1.523 -2.666 -3.445
2.251 -3.606 1.796
-7.351 -2.144 4.910
La Pr Sn Pd
1 1 2 5
Direct
0.000 0.000 0.000 La
0.000 0.000 0.500 Pr
0.500 0.500 0.155 Sn
0.500 0.500 0.845 Sn
0.000 0.500 0.293 Pd
0.500 0.000 0.293 Pd
0.000 0.500 0.707 Pd
0.500 0.000 0.707 Pd
0.500 0.500 0.500 Pd
```

crystal system	tetragonal

***

AcDyCuIr: optimized geometry, PBE.

Cell and atoms, written as POSCAR:
```
AcDyCuIr
1.0
-0.387 -2.276 -4.546
2.935 -4.023 -1.095
-2.071 -4.645 -0.357
Ac Ir Cu Dy
1 1 1 1
Direct
0.250 0.250 0.250 Ac
0.500 0.500 0.500 Ir
0.000 0.000 0.000 Cu
0.750 0.750 0.750 Dy
```

crystal system	cubic

***

Ca2TlSnH: optimized geometry, PBE.

Cell and atoms, written as POSCAR:
```
Ca2TlSnH
1.0
-3.069 -3.411 1.883
2.662 -0.087 4.184
-2.730 3.455 1.809
H Tl Ca Sn
1 1 2 1
Direct
0.000 0.000 0.000 H
0.000 0.000 0.500 Tl
0.000 0.500 0.000 Ca
0.500 0.000 0.000 Ca
0.500 0.500 0.500 Sn
```

crystal system	tetragonal

***

NaBrO: optimized geometry, PBE.

Cell and atoms, written as POSCAR:
```
NaBrO
1.0
4.420 0.000 -0.007
0.000 4.617 0.000
-1.929 0.000 6.106
Na Br O
2 2 2
Direct
0.940 0.500 0.070 Na
0.727 0.000 0.691 Na
0.481 0.000 0.154 Br
0.181 0.500 0.595 Br
0.812 0.500 0.680 O
0.039 0.000 0.071 O
```

uncorrected formation energy	-0.79	eV/atom
crystal system	monoclinic

***

CsKMn2Br8: optimized geometry, PBE.

Cell and atoms, written as POSCAR:
```
CsKMn2Br8
1.0
7.097 0.000 0.000
-3.549 6.146 0.000
0.000 0.000 10.910
Cs K Mn Br
1 1 2 8
Direct
0.000 0.000 0.000 Cs
0.000 0.000 0.500 K
0.667 0.333 0.229 Mn
0.333 0.667 0.771 Mn
0.333 0.667 0.988 Br
0.351 0.347 0.291 Br
0.653 0.005 0.291 Br
0.667 0.333 0.012 Br
0.347 0.995 0.709 Br
0.649 0.653 0.709 Br
0.005 0.351 0.709 Br
0.995 0.649 0.291 Br
```

uncorrected formation energy	-0.99	eV/atom
crystal system	trigonal

***

La5Pm8Pb: optimized geometry, PBE.

Cell and atoms, written as POSCAR:
```
La5Pm8Pb
1.0
-5.013 -6.008 3.657
7.964 -0.490 3.308
-3.292 7.831 1.561
La Pm Pb
5 8 1
Direct
0.007 0.310 0.121 La
0.879 0.886 0.189 La
0.811 0.690 0.696 La
0.500 0.000 0.500 La
0.304 0.114 0.993 La
0.158 0.718 0.054 Pm
0.946 0.104 0.664 Pm
0.762 0.271 0.363 Pm
0.637 0.399 0.908 Pm
0.509 0.601 0.238 Pm
0.560 0.896 0.842 Pm
0.336 0.282 0.440 Pm
0.092 0.729 0.491 Pm
0.250 0.500 0.750 Pb
```

crystal system	tetragonal

***

NiHgSe2: optimized geometry, PBE.

Cell and atoms, written as POSCAR:
```
NiHgSe2
1.0
-0.412 -3.013 -0.586
1.708 1.308 -2.228
8.255 -2.119 5.084
Hg Ni Se
1 1 2
Direct
0.500 0.500 0.250 Hg
0.500 0.500 0.750 Ni
0.000 0.000 0.912 Se
0.000 0.000 0.588 Se
```

uncorrected formation energy	0.07	eV/atom
crystal system	orthorhombic

***

La3PrI8: optimized geometry, PBE.

Cell and atoms, written as POSCAR:
```
La3PrI8
1.0
-0.478 -7.892 -3.441
-0.031 6.939 -5.107
8.354 -2.313 4.145
La Pr I
3 1 8
Direct
0.500 0.000 0.000 La
0.500 0.500 0.000 La
0.000 0.500 0.000 La
0.000 0.000 0.000 Pr
0.247 0.495 0.745 I
0.753 0.505 0.255 I
0.246 0.995 0.747 I
0.749 0.995 0.747 I
0.749 0.498 0.747 I
0.251 0.502 0.253 I
0.251 0.005 0.253 I
0.754 0.005 0.253 I
```

uncorrected formation energy	-1.36	eV/atom
crystal system	monoclinic

***

Nd4Sm3Bi4: optimized geometry, PBE.

Cell and atoms, written as POSCAR:
```
Nd4Sm3Bi4
1.0
4.168 0.000 0.000
0.000 9.380 0.000
-2.084 -4.690 9.240
Nd Sm Bi
4 3 4
Direct
0.332 0.157 0.665 Nd
0.668 0.492 0.335 Nd
0.668 0.843 0.335 Nd
0.332 0.508 0.665 Nd
0.097 0.097 0.194 Sm
0.903 0.903 0.806 Sm
0.000 0.500 0.000 Sm
0.271 0.771 0.542 Bi
0.729 0.229 0.458 Bi
0.500 0.788 0.000 Bi
0.500 0.212 0.000 Bi
```

crystal system	orthorhombic

***

Ti5OsPd2Rh2: optimized geometry, PBE.

Cell and atoms, written as POSCAR:
```
Ti5OsPd2Rh2
1.0
2.967 0.000 0.000
0.000 10.573 0.000
0.000 0.000 10.573
Ti Os Pd Rh
10 2 4 4
Direct
0.500 0.160 0.127 Ti
0.500 0.840 0.873 Ti
0.500 0.127 0.840 Ti
0.500 0.660 0.373 Ti
0.500 0.873 0.160 Ti
0.500 0.340 0.627 Ti
0.500 0.627 0.660 Ti
0.500 0.373 0.340 Ti
0.500 0.500 0.000 Ti
0.500 0.000 0.500 Ti
0.000 0.000 0.000 Os
0.000 0.500 0.500 Os
0.000 0.655 0.155 Pd
0.000 0.345 0.845 Pd
0.000 0.155 0.345 Pd
0.000 0.845 0.655 Pd
0.000 0.142 0.642 Rh
0.000 0.858 0.358 Rh
0.000 0.642 0.858 Rh
0.000 0.358 0.142 Rh
```

crystal system	tetragonal

***

LiMnCl2: optimized geometry, PBE.

Cell and atoms, written as POSCAR:
```
LiMnCl2
1.0
-3.751 -3.986 -1.371
1.473 -2.958 4.573
-4.908 -0.913 4.471
Mn Li Cl
2 2 4
Direct
0.000 0.000 0.000 Mn
0.750 0.250 0.500 Mn
0.500 0.500 0.000 Li
0.250 0.750 0.500 Li
0.617 0.125 0.250 Cl
0.133 0.625 0.250 Cl
0.375 0.383 0.750 Cl
0.875 0.867 0.750 Cl
```

uncorrected formation energy	-0.86	eV/atom
crystal system	tetragonal

***

CaIn2Co: optimized geometry, PBE.

Cell and atoms, written as POSCAR:
```
CaIn2Co
1.0
-2.641 1.280 3.330
0.428 -1.853 4.010
2.893 3.666 3.836
Ca Co In
1 1 2
Direct
0.750 0.750 0.750 Ca
0.250 0.250 0.250 Co
0.963 0.963 0.110 In
0.537 0.537 0.390 In
```

crystal system	trigonal

***

La3Cu3Ir2: optimized geometry, PBE.

Cell and atoms, written as POSCAR:
```
La3Cu3Ir2
1.0
4.211 0.000 0.000
-2.105 5.416 0.000
0.000 0.000 15.893
La Cu Ir
6 6 4
Direct
0.863 0.727 0.416 La
0.137 0.273 0.916 La
0.863 0.727 0.084 La
0.137 0.273 0.584 La
0.598 0.195 0.250 La
0.402 0.805 0.750 La
0.576 0.153 0.444 Cu
0.424 0.847 0.944 Cu
0.576 0.153 0.056 Cu
0.424 0.847 0.556 Cu
0.309 0.617 0.250 Cu
0.691 0.383 0.750 Cu
0.829 0.657 0.881 Ir
0.171 0.343 0.381 Ir
0.829 0.657 0.619 Ir
0.171 0.343 0.119 Ir
```

crystal system	orthorhombic

***

no.,total moment (μB per cell),total DFT energy (no corrections) (eV for the cell shown),volume (Å³/cell)
1,4.02,-6.8,175
2,0.00,-23.7,60
3,0.00,-28.3,70
4,0.00,-39.6,89
5,0.00,-86.0,331
6,0.00,-55.5,223
7,0.00,-49.9,373
8,0.00,-27.1,110
9,0.00,-8.0,136
10,0.00,-53.9,112
11,0.00,-24.3,272
12,0.00,-50.3,194
13,0.00,-23.2,94
14,0.00,-15.7,117
15,0.00,-20.6,125
16,8.00,-45.6,476
17,0.00,-64.4,496
18,0.00,-12.8,89
19,0.00,-48.3,527
20,0.01,-55.4,361
21,0.00,-160.1,332
22,8.17,-36.4,171
23,0.00,-14.8,93
24,0.00,-96.3,362